1.
Computed, not measured: an optimized crystal structure of NaMoAs2Se at the GGA-PBEsol level of DFT.

abc: 4.858 4.858 5.013
angles: 90.00 90.00 90.00
Sites, in units of the cell vectors:
Na 0.000 0.000 0.000
Mo 0.500 0.500 0.500
As 0.000 0.500 0.500
As 0.500 0.000 0.500
Se 0.500 0.500 0.000

Summary:
crystal system: tetragonal
space-group type: P4/mmm, No. 123
E_form (uncorrected): 0.043 eV/atom

---

2.
Computed, not measured: an optimized crystal structure of Ni2MoAs at the GGA-PBEsol level of DFT.

abc: 3.242 3.925 3.944
angles: 90.00 90.00 90.00
Sites, in units of the cell vectors:
Ni 0.000 0.000 0.000
Ni 0.500 0.500 0.000
Mo 0.000 0.500 0.500
As 0.500 0.000 0.500

Summary:
crystal system: orthorhombic
space-group type: Pmmm, No. 47
ΔH_f (0 K): -0.05 eV/atom

---

3.
Computed, not measured: an optimized crystal structure of NiMo2As at the GGA-PBEsol level of DFT.

abc: 4.874 4.874 4.874
angles: 142.27 128.64 65.46
Sites, in units of the cell vectors:
Ni 0.000 0.000 0.000
Mo 0.460 0.460 0.000
Mo 0.736 0.236 0.500
As 0.208 0.708 0.500

Summary:
crystal system: orthorhombic
space-group type: Imm2, No. 44
ΔH_f (0 K): -0.07 eV/atom

---

4.
Computed, not measured: an optimized crystal structure of NiMo2As at the GGA-PBEsol level of DFT.

abc: 4.372 4.372 2.861
angles: 90.00 90.00 90.00
Sites, in units of the cell vectors:
Ni 0.000 0.000 0.000
Mo 0.000 0.500 0.500
Mo 0.500 0.000 0.500
As 0.500 0.500 0.000

Summary:
crystal system: tetragonal
space-group type: P4/mmm, No. 123
ΔH_f (0 K): 0.01 eV/atom

---

5.
Computed, not measured: an optimized crystal structure of Ni2MoAs at the GGA-PBEsol level of DFT.

abc: 2.755 3.282 5.571
angles: 90.00 90.00 90.00
Sites, in units of the cell vectors:
Ni 0.000 0.000 0.000
Ni 0.500 0.500 0.228
Mo 0.500 0.500 0.749
As 0.000 0.000 0.447

Summary:
crystal system: orthorhombic
space-group type: Pmm2, No. 25
ΔH_f (0 K): -0.03 eV/atom

---

6.
Computed, not measured: an optimized crystal structure of NiMo2As at the GGA-PBEsol level of DFT.

abc: 2.751 2.751 7.837
angles: 90.00 90.00 106.11
Sites, in units of the cell vectors:
Ni 0.000 0.000 0.000
Mo 0.000 0.000 0.488
Mo 0.500 0.500 0.757
As 0.500 0.500 0.223

Summary:
crystal system: orthorhombic
space-group type: Cmm2, No. 35
ΔH_f (0 K): 0.15 eV/atom

---

no.,raw total energy (eV per atom),total magnetization (μB/f.u.)
1,-5.404,0.00
2,-7.343,0.00
3,-8.765,0.00
4,-8.687,0.00
5,-7.326,0.00
6,-8.552,0.00